Record 1
First-principles (PBE) data for crystalline HfNiAu at its relaxed geometry, as listed in Alexandria via LeMat-Bulk.

abc: 4.8637 4.8770 9.7532
angles: 120.12 90.00 90.00
Fractional coordinates of all 12 atoms:
Hf 0.2503 0.2413 0.3795
Hf 0.2497 0.2413 0.8795
Hf 0.7497 0.7587 0.6205
Hf 0.7503 0.7587 0.1205
Au 0.7505 0.4164 0.2916
Au 0.7495 0.4164 0.7916
Au 0.2495 0.5836 0.7084
Au 0.2505 0.5836 0.2084
Ni 0.2496 0.9105 0.5450
Ni 0.7504 0.0895 0.4550
Ni 0.2504 0.9105 0.0450
Ni 0.7496 0.0895 0.9550

Properties
ΔE_f = -0.51 eV/atom
electronic total energy = -6.844 eV/atom
relative energy among the computed polymorphs = 0.142 eV/f.u.

Record 2
First-principles (PBE) data for crystalline Li2ThPd4 at its relaxed geometry, as listed in Alexandria via LeMat-Bulk.

abc: 5.4750 5.2595 5.4750
angles: 118.66 103.07 61.34
Fractional coordinates of all 7 atoms:
Pd 0.5950 0.7028 0.0006
Pd 0.9994 0.7028 0.4050
Pd 0.0006 0.2972 0.5950
Pd 0.4050 0.2972 0.9994
Li 0.5000 0.2505 0.5000
Li 0.5000 0.7495 0.5000
Th 0.0000 0.0000 0.0000

Properties
ΔE_f = -0.62 eV/atom
electronic total energy = -5.197 eV/atom
relative energy among the computed polymorphs = 0.000 eV/f.u.

Record 3
First-principles (PBE) data for crystalline Ti8Al2Sb at its relaxed geometry, as listed in Alexandria via LeMat-Bulk.

abc: 4.8677 7.2129 7.2129
angles: 119.67 103.33 103.33
Fractional coordinates of all 11 atoms:
Ti 0.7117 0.4186 0.4186
Ti 0.5000 0.2226 0.7774
Ti 0.2883 0.5814 0.5814
Ti 0.8422 0.6772 0.9037
Ti 0.1578 0.3228 0.0963
Ti 0.5000 0.7774 0.2226
Ti 0.1578 0.0963 0.3228
Ti 0.8422 0.9037 0.6772
Sb 0.5000 0.0000 0.0000
Al 0.0000 0.3045 0.6955
Al 0.0000 0.6955 0.3045

Properties
formation energy (no corrections) = -0.128 eV/atom
electronic total energy = -6.925 eV/atom

Record 4
First-principles (PBE) data for crystalline CaZrRuRh at its relaxed geometry, as listed in Alexandria via LeMat-Bulk.

abc: 4.6997 4.6997 4.6997
angles: 60.00 60.00 60.00
Fractional coordinates of all 4 atoms:
Rh 0.0000 0.0000 0.0000
Ru 0.5000 0.5000 0.5000
Zr 0.2500 0.2500 0.2500
Ca 0.7500 0.7500 0.7500

Properties
ΔE_f = -0.35 eV/atom
electronic total energy = -7.145 eV/atom

Record 5
First-principles (PBE) data for crystalline TbScPd2 at its relaxed geometry, as listed in Alexandria via LeMat-Bulk.

abc: 3.3489 3.3489 7.1043
angles: 90.00 90.00 90.00
Fractional coordinates of all 4 atoms:
Tb 0.5000 0.5000 0.5000
Pd 0.0000 0.0000 0.7748
Pd 0.0000 0.0000 0.2252
Sc 0.5000 0.5000 0.0000

Properties
ΔE_f = -0.86 eV/atom
electronic total energy = -6.200 eV/atom
relative energy among the computed polymorphs = 0.128 eV/f.u.

Record 6
First-principles (PBE) data for crystalline YCuGeH at its relaxed geometry, as listed in Alexandria via LeMat-Bulk.

abc: 4.0176 4.0176 7.2235
angles: 90.00 90.00 90.00
Fractional coordinates of all 8 atoms:
Cu 0.5000 0.5000 0.5000
Cu 0.0000 0.0000 0.5000
H 0.5000 0.5000 0.0000
H 0.0000 0.0000 0.0000
Y 0.0000 0.5000 0.8440
Y 0.5000 0.0000 0.1560
Ge 0.0000 0.5000 0.3025
Ge 0.5000 0.0000 0.6975

Properties
electronic total energy = -5.243 eV/atom

Record 7
First-principles (PBE) data for crystalline Ca2RuPbN at its relaxed geometry, as listed in Alexandria via LeMat-Bulk.

abc: 5.1933 5.1933 3.8385
angles: 90.00 90.00 90.00
Fractional coordinates of all 5 atoms:
N 0.0000 0.0000 0.0000
Ru 0.0000 0.0000 0.5000
Ca 0.5000 0.0000 0.0000
Ca 0.0000 0.5000 0.0000
Pb 0.5000 0.5000 0.5000

Properties
formation energy (no corrections) = -0.473 eV/atom
electronic total energy = -5.535 eV/atom

Record 8
First-principles (PBE) data for crystalline Mn2Be2V at its relaxed geometry, as listed in Alexandria via LeMat-Bulk.

abc: 5.9583 5.9583 2.8331
angles: 90.00 90.00 90.00
Last column: magnetic moment on the atom in μB.
Fractional coordinates of all 10 atoms:
Be 0.1196 0.3804 0.0000  -0.06
Be 0.3804 0.8804 0.0000  -0.06
Be 0.6196 0.1196 0.0000  -0.06
Be 0.8804 0.6196 0.0000  -0.06
V 0.5000 0.5000 0.0000  -0.86
V 0.0000 0.0000 0.0000  -0.86
Mn 0.1758 0.6758 0.5000  1.18
Mn 0.6758 0.8242 0.5000  1.18
Mn 0.8242 0.3242 0.5000  1.18
Mn 0.3242 0.1758 0.5000  1.18

Properties
ΔE_f = -0.15 eV/atom
electronic total energy = -7.136 eV/atom